First-principles (PBE) data for a geometry-optimized CdGe6 structure, as listed in Alexandria.

```
data_CdGe6
_symmetry_space_group_name_H-M 'I m -3 m'
_symmetry_Int_Tables_number 229
_symmetry_space_group_name_Hall '-I 4 2 3'
_cell_length_a 7.0917
_cell_length_b 7.0917
_cell_length_c 7.0917
_cell_angle_alpha 90.00
_cell_angle_beta 90.00
_cell_angle_gamma 90.00
loop_
_atom_site_label
_atom_site_fract_x
_atom_site_fract_y
_atom_site_fract_z
Cd1 0.0000 0.0000 0.0000
Ge1 0.0000 0.2500 0.5000
```

Summary:
**Total magnetic moment**: 0.000 μB per atom
**Energy of formation**: 0.1933 eV/atom

---

First-principles (PBE) data for a geometry-optimized Cd6Ge structure, as listed in Alexandria.

```
data_Cd6Ge
_symmetry_space_group_name_H-M 'I m -3 m'
_symmetry_Int_Tables_number 229
_symmetry_space_group_name_Hall '-I 4 2 3'
_cell_length_a 7.8369
_cell_length_b 7.8369
_cell_length_c 7.8369
_cell_angle_alpha 90.00
_cell_angle_beta 90.00
_cell_angle_gamma 90.00
loop_
_atom_site_label
_atom_site_fract_x
_atom_site_fract_y
_atom_site_fract_z
Cd1 0.0000 0.2500 0.5000
Ge1 0.0000 0.0000 0.0000
```

Summary:
**Total magnetic moment**: 0.000 μB per atom
**Energy of formation**: 0.6377 eV/atom

---

First-principles (PBE) data for a geometry-optimized CdGe3 structure, as listed in Alexandria.

```
data_CdGe3
_symmetry_space_group_name_H-M 'I 4/m m m'
_symmetry_Int_Tables_number 139
_symmetry_space_group_name_Hall '-I 4 2'
_cell_length_a 4.2257
_cell_length_b 4.2257
_cell_length_c 9.1750
_cell_angle_alpha 90.00
_cell_angle_beta 90.00
_cell_angle_gamma 90.00
loop_
_atom_site_label
_atom_site_fract_x
_atom_site_fract_y
_atom_site_fract_z
Cd1 0.0000 0.0000 0.0000
Ge1 0.0000 0.0000 0.5000
Ge2 0.0000 0.5000 0.2500
```

Summary:
**Total magnetic moment**: 0.000 μB per atom
**Energy above the most stable polymorph in this dataset**: 0.00 eV/f.u.
**Energy of formation**: 0.2881 eV/atom

---

First-principles (PBE) data for a geometry-optimized CdGeH structure, as listed in Alexandria.

```
data_CdGeH
_symmetry_space_group_name_H-M 'P 1'
_symmetry_Int_Tables_number 1
_cell_length_a 4.8713
_cell_length_b 4.9964
_cell_length_c 5.6226
_cell_angle_alpha 113.91
_cell_angle_beta 105.90
_cell_angle_gamma 96.69
loop_
_symmetry_equiv_pos_as_xyz
'x,y,z'
loop_
_atom_site_label
_atom_site_fract_x
_atom_site_fract_y
_atom_site_fract_z
Cd1 0.0000 0.0000 0.0000
Cd2 0.4464 0.6058 0.9914
Ge1 0.6117 0.2521 0.2556
Ge2 0.8347 0.3538 0.7353
H1 0.1574 0.7341 0.4684
H2 0.2871 0.8696 0.5228
```

Summary:
**Total magnetic moment**: 0.000 μB per atom
**Energy above the most stable polymorph in this dataset**: 0.00 eV/f.u.

---

First-principles (PBE) data for a geometry-optimized CdGeH structure, as listed in Alexandria.

```
data_CdGeH
_symmetry_space_group_name_H-M 'C 1 m 1'
_symmetry_Int_Tables_number 8
_cell_length_a 8.4103
_cell_length_b 4.8946
_cell_length_c 3.0342
_cell_angle_alpha 90.00
_cell_angle_beta 111.01
_cell_angle_gamma 90.00
loop_
_symmetry_equiv_pos_as_xyz
'x,y,z'
'x,-y,z'
'x+1/2,y+1/2,z'
'x+1/2,-y+1/2,z'
loop_
_atom_site_label
_atom_site_fract_x
_atom_site_fract_y
_atom_site_fract_z
Cd1 0.0000 0.0000 0.0000
Ge1 0.0273 0.5000 0.5257
H1 0.2352 0.5000 0.7320
```

Summary:
**Total magnetic moment**: 0.000 μB per atom
**Energy above the most stable polymorph in this dataset**: 0.01 eV/f.u.

---

First-principles (PBE) data for a geometry-optimized CdGe2H2 structure, as listed in Alexandria.

```
data_CdGe2H2
_symmetry_space_group_name_H-M 'I 4/m m m'
_symmetry_Int_Tables_number 139
_symmetry_space_group_name_Hall '-I 4 2'
_cell_length_a 3.2047
_cell_length_b 3.2047
_cell_length_c 13.7672
_cell_angle_alpha 90.00
_cell_angle_beta 90.00
_cell_angle_gamma 90.00
loop_
_atom_site_label
_atom_site_fract_x
_atom_site_fract_y
_atom_site_fract_z
Cd1 0.0000 0.0000 0.0000
Ge1 0.0000 0.0000 0.3464
H1 0.0000 0.5000 0.2500
```

Summary:
**Total magnetic moment**: 0.000 μB per atom
**Energy above the most stable polymorph in this dataset**: 0.00 eV/f.u.

---

First-principles (PBE) data for a geometry-optimized CdGe2H structure, as listed in Alexandria.

```
data_CdGe2H
_symmetry_space_group_name_H-M 'F m -3 m'
_symmetry_Int_Tables_number 225
_symmetry_space_group_name_Hall '-F 4 2 3'
_cell_length_a 6.4944
_cell_length_b 6.4944
_cell_length_c 6.4944
_cell_angle_alpha 90.00
_cell_angle_beta 90.00
_cell_angle_gamma 90.00
loop_
_atom_site_label
_atom_site_fract_x
_atom_site_fract_y
_atom_site_fract_z
Cd1 0.0000 0.0000 0.0000
Ge1 0.2500 0.2500 0.2500
H1 0.0000 0.0000 0.5000
```

Summary:
**Total magnetic moment**: 0.000 μB per atom
**Energy above the most stable polymorph in this dataset**: 0.68 eV/f.u.

---

First-principles (PBE) data for a geometry-optimized Cd2GeH structure, as listed in Alexandria.

```
data_Cd2GeH
_symmetry_space_group_name_H-M 'I -4 2 d'
_symmetry_Int_Tables_number 122
_symmetry_space_group_name_Hall 'I -4 2bw'
_cell_length_a 5.1461
_cell_length_b 5.1461
_cell_length_c 12.1616
_cell_angle_alpha 90.00
_cell_angle_beta 90.00
_cell_angle_gamma 90.00
loop_
_atom_site_label
_atom_site_fract_x
_atom_site_fract_y
_atom_site_fract_z
Cd1 0.1456 0.2500 0.1250
Ge1 0.0000 0.0000 0.5000
H1 0.0000 0.0000 0.0000
```

Summary:
**Total magnetic moment**: 0.000 μB per atom
**Energy above the most stable polymorph in this dataset**: 0.00 eV/f.u.

---

First-principles (PBE) data for a geometry-optimized CdGe2H structure, as listed in Alexandria.

```
data_CdGe2H
_symmetry_space_group_name_H-M 'I -4 2 d'
_symmetry_Int_Tables_number 122
_symmetry_space_group_name_Hall 'I -4 2bw'
_cell_length_a 5.0168
_cell_length_b 5.0168
_cell_length_c 12.0624
_cell_angle_alpha 90.00
_cell_angle_beta 90.00
_cell_angle_gamma 90.00
loop_
_atom_site_label
_atom_site_fract_x
_atom_site_fract_y
_atom_site_fract_z
Cd1 0.0000 0.0000 0.0000
Ge1 0.0967 0.2500 0.6250
H1 0.0000 0.0000 0.5000
```

Summary:
**Total magnetic moment**: 0.000 μB per atom
**Energy above the most stable polymorph in this dataset**: 0.00 eV/f.u.

---

First-principles (PBE) data for a geometry-optimized CdGeH structure, as listed in Alexandria.

```
data_CdGeH
_symmetry_space_group_name_H-M 'C 1 m 1'
_symmetry_Int_Tables_number 8
_cell_length_a 3.9594
_cell_length_b 3.9587
_cell_length_c 6.8137
_cell_angle_alpha 90.00
_cell_angle_beta 90.13
_cell_angle_gamma 90.00
loop_
_symmetry_equiv_pos_as_xyz
'x,y,z'
'x,-y,z'
'x+1/2,y+1/2,z'
'x+1/2,-y+1/2,z'
loop_
_atom_site_label
_atom_site_fract_x
_atom_site_fract_y
_atom_site_fract_z
Cd1 0.0000 0.0000 0.0000
Ge1 0.4956 0.5000 0.4465
H1 0.4971 0.5000 0.6881
```

Summary:
**Total magnetic moment**: 0.000 μB per atom
**Energy above the most stable polymorph in this dataset**: 0.26 eV/f.u.

---

First-principles (PBE) data for a geometry-optimized CdGeH3 structure, as listed in Alexandria.

```
data_CdGeH3
_symmetry_space_group_name_H-M 'P m -3 m'
_symmetry_Int_Tables_number 221
_symmetry_space_group_name_Hall '-P 4 2 3'
_cell_length_a 3.8760
_cell_length_b 3.8760
_cell_length_c 3.8760
_cell_angle_alpha 90.00
_cell_angle_beta 90.00
_cell_angle_gamma 90.00
loop_
_atom_site_label
_atom_site_fract_x
_atom_site_fract_y
_atom_site_fract_z
Cd1 0.0000 0.0000 0.0000
Ge1 0.5000 0.5000 0.5000
H1 0.0000 0.5000 0.5000
```

Summary:
**Total magnetic moment**: 0.000 μB per atom
**Energy above the most stable polymorph in this dataset**: 0.00 eV/f.u.

---

First-principles (PBE) data for a geometry-optimized Cd2Ge2H structure, as listed in Alexandria.

```
data_Cd2Ge2H
_symmetry_space_group_name_H-M 'P 4/m b m'
_symmetry_Int_Tables_number 127
_symmetry_space_group_name_Hall '-P 4 2ab'
_cell_length_a 6.9472
_cell_length_b 6.9472
_cell_length_c 4.2167
_cell_angle_alpha 90.00
_cell_angle_beta 90.00
_cell_angle_gamma 90.00
loop_
_atom_site_label
_atom_site_fract_x
_atom_site_fract_y
_atom_site_fract_z
Cd1 0.1936 0.3064 0.0000
Ge1 0.1224 0.6224 0.5000
H1 0.0000 0.0000 0.0000
```

Summary:
**Total magnetic moment**: 0.000 μB per atom

---

First-principles (PBE) data for a geometry-optimized CdGe2H2 structure, as listed in Alexandria.

```
data_CdGe2H2
_symmetry_space_group_name_H-M 'P 4/m b m'
_symmetry_Int_Tables_number 127
_symmetry_space_group_name_Hall '-P 4 2ab'
_cell_length_a 7.4611
_cell_length_b 7.4611
_cell_length_c 2.8180
_cell_angle_alpha 90.00
_cell_angle_beta 90.00
_cell_angle_gamma 90.00
loop_
_atom_site_label
_atom_site_fract_x
_atom_site_fract_y
_atom_site_fract_z
Cd1 0.0000 0.0000 0.0000
Ge1 0.1220 0.3780 0.0000
H1 0.0966 0.5966 0.5000
```

Summary:
**Total magnetic moment**: 0.000 μB per atom
**Energy above the most stable polymorph in this dataset**: 0.56 eV/f.u.

---

First-principles (PBE) data for a geometry-optimized CdGeH structure, as listed in Alexandria.

```
data_CdGeH
_symmetry_space_group_name_H-M 'P m m m'
_symmetry_Int_Tables_number 47
_cell_length_a 2.8383
_cell_length_b 3.5185
_cell_length_c 5.2340
_cell_angle_alpha 90.00
_cell_angle_beta 90.00
_cell_angle_gamma 90.00
loop_
_symmetry_equiv_pos_as_xyz
'x,y,z'
'-x,-y,-z'
'-x,-y,z'
'x,y,-z'
'x,-y,-z'
'-x,y,z'
'-x,y,-z'
'x,-y,z'
loop_
_atom_site_label
_atom_site_fract_x
_atom_site_fract_y
_atom_site_fract_z
Cd1 0.0000 0.0000 0.0000
Ge1 0.5000 0.0000 0.5000
H1 0.5000 0.5000 0.5000
```

Summary:
**Total magnetic moment**: 0.000 μB per atom
**Energy above the most stable polymorph in this dataset**: 0.29 eV/f.u.

---

Final energy
In order: -3.8952, -0.8063, -3.4037, -2.7592, -2.7561, -2.9101, -2.7684, -2.0768, -2.9383, -2.6727, -2.6189, -2.3944, -2.7989, -2.6622
Unit: eV/atom